The following is a DFT calculation (PBE-GGA) of a relaxed structure of AlBr3.

The structure in POSCAR format:
```
AlBr3
1.0
4.1966 9.5923 -2.4537
-6.3322 -1.0506 8.6280
2.7028 -0.6968 1.8988
Br Al
6 2
direct
0.5407 0.7704 0.7500
0.2296 0.7704 0.7500
0.7704 0.2296 0.2500
0.7704 0.5407 0.2500
0.4593 0.2296 0.2500
0.2296 0.4593 0.7500
0.3333 0.6667 0.2500
0.6667 0.3333 0.7500
```

DOS(E_F) (states/eV/atom): 0.00
SG: P6_3/mmc
Calculated total energy (eV for the cell shown): -24.565